Entry 1:
The following is a PBE calculation of Y2GeS after structural relaxation, from Alexandria via LeMat-Bulk.

Cell: 3.9980 3.9980 7.3809 Å, 74.29 74.29 60.00°
Closest atoms and distances in Å follow each position.
Element x y z (fractional)
Y (0.0803, 0.0803, 0.7592)  3 Ge 2.85, 3 S 2.91
Y (0.2543, 0.2543, 0.2370)  3 Ge 2.86, 3 S 2.98
Ge (0.6677, 0.6677, 0.9969)  6 Y 2.85-2.86
S (0.4977, 0.4977, 0.5069)  6 Y 2.91-2.98

## Properties
offset from the most stable computed form	17.36	kJ/mol of atoms


Entry 2:
The following is a PBE calculation of Y3GeS6 after structural relaxation, from Alexandria via LeMat-Bulk.

Cell: 6.6032 8.5480 8.5480 Å, 102.56 90.00 90.00°
Closest atoms and distances in Å follow each position.
Element x y z (fractional)
Y (0.4798, 0.9136, 0.7152)  7 S 2.69-2.98
Y (0.9798, 0.7152, 0.9136)  7 S 2.69-2.98
Y (0.3980, 0.4019, 0.5981)  7 S 2.74-2.96
Y (0.8980, 0.5981, 0.4019)  7 S 2.74-2.96
Y (0.9798, 0.0864, 0.2848)  7 S 2.69-2.98
Y (0.4798, 0.2848, 0.0864)  7 S 2.69-2.98
Ge (0.0217, 0.1999, 0.8001)  4 S 2.35-2.49
Ge (0.5217, 0.8001, 0.1999)  4 S 2.35-2.49
S (0.1882, 0.6910, 0.6331)  4 Y 2.69-2.79
S (0.6882, 0.6331, 0.6910)  4 Y 2.69-2.79
S (0.2042, 0.4360, 0.9008)  1 Ge 2.35
S (0.7042, 0.9008, 0.4360)  1 Ge 2.35
S (0.1746, 0.0364, 0.9636)  1 Ge 2.40
S (0.6468, 0.2174, 0.7826)  1 Ge 2.49, 2 Y 2.76
S (0.1468, 0.7826, 0.2174)  1 Ge 2.49, 2 Y 2.76
S (0.6746, 0.9636, 0.0364)  1 Ge 2.40
S (0.2042, 0.0992, 0.5640)  1 Ge 2.35
S (0.7042, 0.5640, 0.0992)  1 Ge 2.35
S (0.1882, 0.3669, 0.3090)  4 Y 2.69-2.79
S (0.6882, 0.3090, 0.3669)  4 Y 2.69-2.79


Entry 3:
The following is a PBE calculation of Y6GeS4 after structural relaxation, from Alexandria via LeMat-Bulk.

Cell: 3.9656 6.7101 19.8565 Å, 90.00 90.00 107.19°
Closest atoms and distances in Å follow each position.
Element x y z (fractional)
Y (0.5000, 0.0000, 0.0000)  6 S 2.73-2.77
Y (0.5000, 0.0000, 0.5000)  6 S 2.73-2.77
Y (0.0491, 0.0982, 0.3355)  3 S 2.72-2.78, 2 Ge 3.00
Y (0.9509, 0.9018, 0.6645)  3 S 2.72-2.78, 2 Ge 3.00
Y (0.9509, 0.9018, 0.8355)  3 S 2.72-2.78, 2 Ge 3.00
Y (0.0491, 0.0982, 0.1645)  3 S 2.72-2.78, 2 Ge 3.00
Y (0.7728, 0.5456, 0.4144)  5 S 2.75-2.78
Y (0.2272, 0.4544, 0.5856)  5 S 2.75-2.78
Y (0.2272, 0.4544, 0.9144)  5 S 2.75-2.78
Y (0.7728, 0.5456, 0.0856)  5 S 2.75-2.78
Y (0.3296, 0.6592, 0.2500)  2 S 2.70, 2 Ge 2.89
Y (0.6704, 0.3408, 0.7500)  2 S 2.70, 2 Ge 2.89
Ge (0.6651, 0.3301, 0.2500)  6 Y 2.89-3.00
Ge (0.3349, 0.6699, 0.7500)  6 Y 2.89-3.00
S (0.8620, 0.7240, 0.5401)  6 Y 2.72-2.78
S (0.4098, 0.8195, 0.1245)  6 Y 2.70-2.78
S (0.1380, 0.2760, 0.4599)  6 Y 2.72-2.78
S (0.5902, 0.1805, 0.8755)  6 Y 2.70-2.78
S (0.8620, 0.7240, 0.9599)  6 Y 2.72-2.78
S (0.1380, 0.2760, 0.0401)  6 Y 2.72-2.78
S (0.5902, 0.1805, 0.6245)  6 Y 2.70-2.78
S (0.4098, 0.8195, 0.3755)  6 Y 2.70-2.78


Entry 4:
The following is a PBE calculation of YGeS3 after structural relaxation, from Alexandria via LeMat-Bulk.

Cell: 5.2014 5.2014 5.2014 Å, 90.00 90.00 90.00°
Closest atoms and distances in Å follow each position.
Element x y z (fractional)
Y (0.0000, 0.0000, 0.0000)  6 S 2.60
Ge (0.5000, 0.5000, 0.5000)  12 S 3.68
S (0.0000, 0.5000, 0.0000)  2 Y 2.60
S (0.0000, 0.0000, 0.5000)  2 Y 2.60
S (0.5000, 0.0000, 0.0000)  2 Y 2.60

## Properties
offset from the most stable computed form	83.21	kJ/mol of atoms


Entry 5:
The following is a PBE calculation of Y2GeS after structural relaxation, from Alexandria via LeMat-Bulk.

Cell: 4.0495 4.0495 7.0560 Å, 89.99 106.69 120.00°
Closest atoms and distances in Å follow each position.
Element x y z (fractional)
Y (0.4993, 0.2497, 0.7490)  3 Ge 2.87, 3 S 2.87
Y (0.5007, 0.7503, 0.2510)  3 Ge 2.87, 3 S 2.87
Ge (0.0000, 0.5000, 0.5000)  6 Y 2.87
S (0.0000, 0.0000, 0.0000)  6 Y 2.87

## Properties
offset from the most stable computed form	3.73	kJ/mol of atoms


Entry 6:
The following is a PBE calculation of Y3GeS2 after structural relaxation, from Alexandria via LeMat-Bulk.

Cell: 6.4789 7.5973 7.5973 Å, 89.48 90.00 90.00°
Closest atoms and distances in Å follow each position.
Element x y z (fractional)
Y (0.7500, 0.1022, 0.8978)  4 S 2.66
Y (0.7500, 0.2553, 0.4307)  2 S 2.66, 1 Ge 2.89
Y (0.2500, 0.4307, 0.2553)  2 S 2.66, 1 Ge 2.89
Y (0.7500, 0.5693, 0.7447)  2 S 2.66, 1 Ge 2.89
Y (0.2500, 0.7447, 0.5693)  2 S 2.66, 1 Ge 2.89
Y (0.2500, 0.8978, 0.1022)  4 S 2.66
Ge (0.2500, 0.3689, 0.6311)  2 Y 2.89
Ge (0.7500, 0.6311, 0.3689)  2 Y 2.89
S (0.0000, 0.1673, 0.1673)  4 Y 2.66
S (0.5000, 0.1673, 0.1673)  4 Y 2.66
S (0.0000, 0.8327, 0.8327)  4 Y 2.66
S (0.5000, 0.8327, 0.8327)  4 Y 2.66

## Properties
offset from the most stable computed form	74.39	kJ/mol of atoms


Record-wise formation energy from raw total energies values, in eV/atom: -1.3312, -1.5772, -1.6549, -0.2522, -1.4725, -0.9302
Record-wise E_tot values, in eV per atom: -6.749, -6.455, -7.101, -4.945, -6.891, -6.308
Record-wise magnetic moment values, in μB per cell: 0.00, 0.00, 0.00, 0.00, 0.00, 0.00